(1)
Compound: ReHgPt2
Source: Alexandria via LeMat-Bulk
Functional: PBE
Structure: optimized geometry

a = 2.8570 Å, b = 2.8570 Å, c = 28.2237 Å
α = 90.00°, β = 90.00°, γ = 120.00°
Space group R3m (No. 160, hexagonal axes)
Asymmetric unit:
Re  0.0000  0.0000  0.0000
Hg  0.0000  0.0000  0.2449
Pt  0.0000  0.0000  0.4904
Pt  0.0000  0.0000  0.7410

For the calculated formation energy, the calculation gives 88 kJ/mol of formula units.

---

(2)
Compound: ReHg2Pt
Source: Alexandria via LeMat-Bulk
Functional: PBE
Structure: optimized geometry

a = 2.8723 Å, b = 2.8723 Å, c = 8.6746 Å
α = 90.00°, β = 90.00°, γ = 90.00°
Space group P4/mmm (No. 123)
Asymmetric unit:
Re  0.0000  0.0000  0.0000
Hg  0.5000  0.5000  0.2534
Pt  0.0000  0.0000  0.5000

The calculation puts the energy above the lowest structure with this stoichiometry at 28.8 kJ/mol of atoms. For the calculated formation energy, the calculation gives 249 kJ/mol of formula units.

---

(3)
Compound: Re2HgPt
Source: Alexandria via LeMat-Bulk
Functional: PBE
Structure: optimized geometry

a = 3.3512 Å, b = 3.3512 Å, c = 6.0605 Å
α = 90.00°, β = 90.00°, γ = 90.00°
Space group P4/mmm (No. 123)
Asymmetric unit:
Re  0.0000  0.0000  0.2091
Hg  0.5000  0.5000  0.5000
Pt  0.5000  0.5000  0.0000

For the calculated formation energy, the calculation gives 300 kJ/mol of formula units.

---

(4)
Compound: ReHgPt3
Source: Alexandria via LeMat-Bulk
Functional: PBE
Structure: optimized geometry

a = 4.9500 Å, b = 4.9500 Å, c = 4.9500 Å
α = 90.00°, β = 90.00°, γ = 90.00°
Space group Pm-3m (No. 221)
Asymmetric unit:
Re  0.0000  0.0000  0.0000
Hg  0.5000  0.5000  0.5000
Pt  0.0000  0.5000  0.5000

The calculation puts the energy above the lowest structure with this stoichiometry at 98.4 kJ/mol of atoms. For the calculated formation energy, the calculation gives 1042 kJ/mol of formula units.